# 1
PBEsol MnCo5, optimized geometry; SG = P4/mmm (123); final energy = -8.02 eV per atom; energy of formation = 0.05 eV per atom
1.0
2.429 0.000 0.000
0.000 2.429 0.000
0.000 0.000 10.365
Mn Co
1 5
Direct
0.000 0.000 0.000
0.000 0.000 0.333
0.000 0.000 0.667
0.500 0.500 0.165
0.500 0.500 0.500
0.500 0.500 0.835

=====

# 2
PBEsol Mn3Co, optimized geometry; SG = P4/mmm (123); final energy = -9.11 eV per atom; energy of formation = 0.14 eV per atom
1.0
3.974 0.000 0.000
0.000 3.974 0.000
0.000 0.000 2.797
Mn Co
3 1
Direct
0.000 0.000 0.000
0.000 0.500 0.500
0.500 0.000 0.500
0.500 0.500 0.000

=====

# 3
PBEsol MnCo2, optimized geometry; SG = I4/mmm (139); final energy = -8.28 eV per atom; energy of formation = 0.13 eV per atom
1.0
2.797 0.000 0.000
0.000 2.797 0.000
0.000 0.000 8.486
Mn Co
2 4
Direct
0.000 0.000 0.000
0.500 0.500 0.500
0.000 0.000 0.331
0.000 0.000 0.669
0.500 0.500 0.169
0.500 0.500 0.831

=====

# 4
PBEsol Mn3Co, optimized geometry; SG = R-3m (166); final energy = -9.18 eV per atom; energy of formation = 0.08 eV per atom
1.0
2.428 0.000 0.000
-1.214 2.103 0.000
0.000 0.000 23.882
Mn Co
9 3
Direct
0.000 0.000 0.000
0.000 0.000 0.250
0.000 0.000 0.750
0.333 0.667 0.416
0.333 0.667 0.667
0.333 0.667 0.917
0.667 0.333 0.083
0.667 0.333 0.333
0.667 0.333 0.584
0.000 0.000 0.500
0.333 0.667 0.167
0.667 0.333 0.833